DFT (PBE) results for crystalline LiU2ZnO8 at its relaxed geometry.

The structure in POSCAR format:
```
LiU2ZnO8
1.0
5.207 0.000 0.000
0.000 5.207 0.000
-2.603 -2.603 5.248
Li U Zn O
1 2 1 8
Direct
0.750 0.250 0.500
0.500 0.500 0.000
0.250 0.750 0.500
0.000 0.000 0.000
0.863 0.873 0.337
0.474 0.464 0.337
0.640 0.727 0.841
0.200 0.114 0.841
0.886 0.360 0.159
0.273 0.800 0.159
0.127 0.526 0.663
0.536 0.137 0.663
```

Values from the calculation:
* space-group type: I-4
* energy relative to the elements, uncorrected: -233 kJ/mol of atoms
* DOS at the Fermi energy: 0.8536 states/eV/atom